Material: Dy3Tl2Pd
Method: DFT, PBE
State: optimized geometry

## Properties
Energy relative to the elements ... -3.2 eV per formula unit
Calculated volume ... 152 Å³/f.u.
Symmetry ... P4/mmm

a = 3.605 Å, b = 3.605 Å, c = 11.708 Å
α = 90.00°, β = 90.00°, γ = 90.00°
Positions (direct):
1 Tl 0.500 0.500 0.177
2 Tl 0.500 0.500 0.823
3 Dy 0.000 0.000 0.000
4 Dy 0.000 0.000 0.357
5 Dy 0.000 0.000 0.643
6 Pd 0.500 0.500 0.500